1.
The following is a PBE-GGA calculation of a relaxed structure of YPbAuSe3, from OQMD via LeMat-Bulk.

Output
Crystal system: monoclinic
Energy above the lowest structure with this stoichiometry, eV per formula unit: 0.16
V, A^3/atom: 26.109

a = 7.918 Å, b = 4.108 Å, c = 10.060 Å
α = 90.00°, β = 106.78°, γ = 90.00°
Atoms (fractional coordinates):
Y (0.189, 0.250, 0.169)
Y (0.811, 0.750, 0.831)
Pb (0.244, 0.750, 0.709)
Pb (0.756, 0.250, 0.291)
Au (0.384, 0.750, 0.410)
Au (0.616, 0.250, 0.590)
Se (0.079, 0.250, 0.870)
Se (0.193, 0.250, 0.461)
Se (0.444, 0.750, 0.167)
Se (0.556, 0.250, 0.833)
Se (0.807, 0.750, 0.539)
Se (0.921, 0.750, 0.130)

---

2.
The following is a PBE-GGA calculation of a relaxed structure of InCo3Sb5, from OQMD via LeMat-Bulk.

Output
Crystal system: hexagonal
E, eV per atom: -4.952
V, A^3/atom: 21.633

a = 5.298 Å, b = 5.298 Å, c = 8.009 Å
α = 90.00°, β = 90.00°, γ = 120.00°
Atoms (fractional coordinates):
In (0.000, 0.000, 0.000)
Co (0.000, 0.500, 0.500)
Co (0.500, 0.000, 0.500)
Co (0.500, 0.500, 0.500)
Sb (0.000, 0.000, 0.500)
Sb (0.333, 0.667, 0.233)
Sb (0.333, 0.667, 0.767)
Sb (0.667, 0.333, 0.233)
Sb (0.667, 0.333, 0.767)

---

3.
The following is a PBE-GGA calculation of a relaxed structure of LuPIrO, from OQMD via LeMat-Bulk.

Output
Crystal system: orthorhombic
Energy above the lowest structure with this stoichiometry, eV per formula unit: 2.19
V, A^3/atom: 15.037

a = 4.644 Å, b = 4.271 Å, c = 6.064 Å
α = 90.00°, β = 90.00°, γ = 90.00°
Atoms (fractional coordinates):
Lu (0.000, 0.209, 0.000)
Lu (0.000, 0.791, 0.500)
P (0.500, 0.157, 0.702)
P (0.500, 0.843, 0.202)
Ir (0.500, 0.343, 0.346)
Ir (0.500, 0.657, 0.846)
O (0.000, 0.315, 0.351)
O (0.000, 0.685, 0.851)